No. 1
A relaxed CaIn6Bi crystal. Source: the Alexandria database, functional PBE.

Properties
Energy relative to the elements, eV/atom: -0.13
Space-group type: No. 65
Uncorrected energy, eV/atom: -2.91

a b c (Å): 5.715 6.672 6.672
angles (deg): 62.14 90.00 90.00
Positions (direct):
Ca  0.500  0.000  0.000
In  0.000  0.729  0.271
In  0.000  0.271  0.729
In  0.000  0.769  0.769
In  0.000  0.231  0.231
In  0.500  0.500  0.000
In  0.500  0.000  0.500
Bi  0.500  0.500  0.500

No. 2
A relaxed Ca2InBi crystal. Source: the Alexandria database, functional PBE.

Properties
Energy relative to the elements, eV/atom: -0.60
Space-group type: No. 123
Uncorrected energy, eV/atom: -3.25
ΔE to the lowest computed polymorph, meV per atom: 0

a b c (Å): 4.417 5.218 5.218
angles (deg): 90.00 90.00 90.00
Positions (direct):
Ca  0.000  0.000  0.500
Ca  0.000  0.500  0.000
Bi  0.500  0.000  0.000
In  0.500  0.500  0.500

No. 3
A relaxed Ca5In2Bi6 crystal. Source: the Alexandria database, functional PBE.

Properties
Energy relative to the elements, eV/atom: -0.61
Space-group type: No. 55
Uncorrected energy, eV/atom: -3.59

a b c (Å): 4.739 12.273 14.713
angles (deg): 90.00 90.00 90.00
Positions (direct):
Ca  0.500  0.330  0.474
Ca  0.500  0.670  0.526
Ca  0.500  0.830  0.026
Ca  0.500  0.170  0.974
Ca  0.500  0.587  0.245
Ca  0.500  0.413  0.755
Ca  0.500  0.087  0.255
Ca  0.500  0.913  0.745
Ca  0.500  0.500  0.000
Ca  0.500  0.000  0.500
In  0.000  0.342  0.286
In  0.000  0.658  0.714
In  0.000  0.842  0.214
In  0.000  0.158  0.786
Bi  0.000  0.149  0.409
Bi  0.000  0.851  0.591
Bi  0.000  0.649  0.091
Bi  0.000  0.351  0.909
Bi  0.500  0.332  0.165
Bi  0.500  0.668  0.835
Bi  0.500  0.832  0.335
Bi  0.500  0.168  0.665
Bi  0.000  0.550  0.402
Bi  0.000  0.450  0.598
Bi  0.000  0.050  0.098
Bi  0.000  0.950  0.902

No. 4
A relaxed CaIn3Bi4 crystal. Source: the Alexandria database, functional PBE.

Properties
Energy relative to the elements, eV/atom: -0.17
Space-group type: No. 12
Uncorrected energy, eV/atom: -3.39

a b c (Å): 4.920 6.113 9.264
angles (deg): 91.83 74.60 66.27
Positions (direct):
Ca  0.000  0.000  0.000
Bi  0.875  0.877  0.372
Bi  0.125  0.123  0.628
Bi  0.372  0.376  0.880
Bi  0.628  0.624  0.120
In  0.763  0.735  0.739
In  0.237  0.265  0.261
In  0.500  0.500  0.500

No. 5
A relaxed CaInBi crystal. Source: the Alexandria database, functional PBE.

Properties
Energy relative to the elements, eV/atom: -0.48
Space-group type: No. 62
Uncorrected energy, eV/atom: -3.35
ΔE to the lowest computed polymorph, meV per atom: 0

a b c (Å): 4.510 9.016 9.434
angles (deg): 90.00 90.00 90.00
Positions (direct):
Ca  0.750  0.579  0.316
Ca  0.250  0.921  0.816
Ca  0.750  0.079  0.184
Ca  0.250  0.421  0.684
In  0.250  0.394  0.040
In  0.250  0.894  0.460
In  0.750  0.106  0.540
In  0.750  0.606  0.960
Bi  0.250  0.301  0.348
Bi  0.250  0.801  0.152
Bi  0.750  0.699  0.652
Bi  0.750  0.199  0.848

No. 6
A relaxed Ca2InBi crystal. Source: the Alexandria database, functional PBE.

Properties
Energy relative to the elements, eV/atom: -0.23
Space-group type: No. 14
Uncorrected energy, eV/atom: -2.89
ΔE to the lowest computed polymorph, meV per atom: 364

a b c (Å): 6.752 9.930 9.859
angles (deg): 120.15 90.00 90.00
Positions (direct):
Ca  0.750  0.073  0.145
Ca  0.250  0.427  0.855
Ca  0.250  0.927  0.855
Ca  0.750  0.573  0.145
Ca  0.773  0.641  0.779
Ca  0.273  0.859  0.221
Ca  0.227  0.359  0.221
Ca  0.727  0.141  0.779
In  0.662  0.439  0.376
In  0.162  0.061  0.624
In  0.338  0.561  0.624
In  0.838  0.939  0.376
Bi  0.499  0.193  0.499
Bi  0.999  0.307  0.501
Bi  0.501  0.807  0.501
Bi  0.001  0.693  0.499

No. 7
A relaxed Ca2InBi crystal. Source: the Alexandria database, functional PBE.

Properties
Energy relative to the elements, eV/atom: -0.32
Space-group type: No. 122
Uncorrected energy, eV/atom: -2.98
ΔE to the lowest computed polymorph, meV per atom: 275

a b c (Å): 8.626 8.626 7.091
angles (deg): 52.54 52.54 90.00
Positions (direct):
Ca  0.632  0.125  0.250
Ca  0.118  0.625  0.250
Ca  0.375  0.368  0.750
Ca  0.875  0.882  0.750
Bi  0.000  0.000  0.000
Bi  0.750  0.250  0.500
In  0.500  0.500  0.000
In  0.250  0.750  0.500

No. 8
A relaxed CaIn12Bi6 crystal. Source: the Alexandria database, functional PBE.

Properties
Energy relative to the elements, eV/atom: -0.02
Space-group type: No. 148
Uncorrected energy, eV/atom: -3.08

a b c (Å): 8.633 8.633 8.633
angles (deg): 74.95 74.95 74.95
Positions (direct):
Ca  0.000  0.000  0.000
In  0.556  0.216  0.502
In  0.216  0.502  0.556
In  0.502  0.556  0.216
In  0.444  0.784  0.498
In  0.784  0.498  0.444
In  0.498  0.444  0.784
In  0.014  0.820  0.662
In  0.338  0.986  0.180
In  0.180  0.338  0.986
In  0.986  0.180  0.338
In  0.662  0.014  0.820
In  0.820  0.662  0.014
Bi  0.187  0.119  0.610
Bi  0.881  0.390  0.813
Bi  0.390  0.813  0.881
Bi  0.813  0.881  0.390
Bi  0.119  0.610  0.187
Bi  0.610  0.187  0.119

No. 9
A relaxed CaIn3Bi2 crystal. Source: the Alexandria database, functional PBE.

Properties
Energy relative to the elements, eV/atom: -0.22
Space-group type: No. 15
Uncorrected energy, eV/atom: -3.22

a b c (Å): 6.847 6.847 11.895
angles (deg): 125.05 125.05 58.83
Positions (direct):
Ca  0.008  0.992  0.250
Ca  0.992  0.008  0.750
In  0.089  0.572  0.426
In  0.428  0.911  0.074
In  0.911  0.428  0.574
In  0.572  0.089  0.926
In  0.510  0.490  0.250
In  0.490  0.510  0.750
Bi  0.931  0.416  0.083
Bi  0.584  0.069  0.417
Bi  0.069  0.584  0.917
Bi  0.416  0.931  0.583

No. 10
A relaxed CaIn2Bi2 crystal. Source: the Alexandria database, functional PBE.

Properties
Energy relative to the elements, eV/atom: -0.19
Space-group type: No. 127
Uncorrected energy, eV/atom: -3.24
ΔE to the lowest computed polymorph, meV per atom: 96

a b c (Å): 8.585 8.585 4.146
angles (deg): 90.00 90.00 90.00
Positions (direct):
Ca  0.000  0.000  0.000
Ca  0.500  0.500  0.000
Bi  0.170  0.670  0.500
Bi  0.670  0.830  0.500
Bi  0.830  0.330  0.500
Bi  0.330  0.170  0.500
In  0.373  0.873  0.000
In  0.873  0.627  0.000
In  0.627  0.127  0.000
In  0.127  0.373  0.000

No. 11
A relaxed CaIn2Bi crystal. Source: the Alexandria database, functional PBE.

Properties
Energy relative to the elements, eV/atom: -0.35
Space-group type: No. 119
Uncorrected energy, eV/atom: -3.19

a b c (Å): 4.784 4.784 6.044
angles (deg): 113.31 113.31 90.00
Positions (direct):
Ca  0.000  0.000  0.000
In  0.500  0.500  0.000
In  0.750  0.250  0.500
Bi  0.250  0.750  0.500

No. 12
A relaxed Ca2In5Bi2 crystal. Source: the Alexandria database, functional PBE.

Properties
Energy relative to the elements, eV/atom: -0.20
Space-group type: No. 46
Uncorrected energy, eV/atom: -3.02

a b c (Å): 5.213 10.815 11.437
angles (deg): 118.22 103.17 90.00
Positions (direct):
Ca  0.107  0.507  0.715
Ca  0.893  0.791  0.285
Ca  0.108  0.007  0.715
Ca  0.892  0.291  0.285
In  0.708  0.606  0.917
In  0.292  0.689  0.083
In  0.709  0.106  0.917
In  0.291  0.189  0.083
In  0.529  0.755  0.712
In  0.471  0.043  0.288
In  0.683  0.255  0.712
In  0.317  0.543  0.288
In  0.075  0.149  0.500
In  0.925  0.649  0.500
Bi  0.000  0.898  0.000
Bi  0.500  0.398  0.000
Bi  0.500  0.899  0.500
Bi  0.500  0.399  0.500

So what do the calculations give for DOS(E_F)? Going down the list: 3.667, 1.828, 2.742, 3.534, 2.461, 11.634, 5.280, 10.299, 5.244, 6.146, 1.447, 11.561 states/eV/cell.